# LaCeMo2O8

Crystalline LaCeMo2O8 at its relaxed geometry (PBE with a Hubbard U, the Alexandria database).

## Properties
V = 166.4 Å³/f.u.
M_tot = 0.25 μB per atom
Space group = I-4 (82)
E = -7.849 eV/atom

Cell: 6.891 6.891 6.891 Å, 134.04 134.04 67.02°
Atoms (fractional coordinates):
La  0.000  0.000  0.000
Ce  0.250  0.750  0.500
Mo  0.500  0.500  0.000
Mo  0.750  0.250  0.500
O  0.018  0.076  0.428
O  0.245  0.660  0.075
O  0.340  0.416  0.585
O  0.409  0.982  0.058
O  0.584  0.170  0.925
O  0.648  0.591  0.572
O  0.830  0.755  0.415
O  0.924  0.352  0.942